Entry from Alexandria: an optimized crystal structure of CrTeN2O (GGA+U).

Calculated values
- density of states at the Fermi level (states/eV/atom) = 0.71
- total magnetization (μB/f.u.) = 0.329
- electronic total energy (eV/atom) = -4.186

abc: 3.968 3.968 4.096
angles: 90.00 90.00 90.00
Site moments in Bohr magnetons follow the coordinates.
Fractional positions:
N  0.500  0.000  0.000  -0.04
N  0.000  0.500  0.000  -0.04
Cr  0.500  0.500  0.500  -0.39
O  0.000  0.000  0.000  0.02
Te  0.000  0.000  0.500  0.09